VNiAgF6: relaxed, PBE with a Hubbard U.

volume	129	Å³/f.u.
density of states at the Fermi level	13.86	states/eV/cell
uncorrected energy	-43.5	eV/f.u.

```
VNiAgF6
1.0
5.377 0.000 0.000
-2.688 4.656 0.000
0.000 0.000 10.294
V Ni Ag F
2 2 2 12
Cartesian
0.000 3.104 2.573
2.688 1.552 7.720
0.000 3.104 7.720
2.688 1.552 2.573
0.000 0.000 0.000
0.000 0.000 5.147
-0.967 1.737 1.502
-1.668 2.950 3.645
0.967 1.737 3.645
-0.701 4.625 1.502
1.987 0.031 6.649
1.020 1.706 8.792
1.668 2.950 1.502
0.701 4.625 3.645
3.389 0.031 8.792
1.721 2.920 6.649
4.356 1.706 6.649
3.655 2.920 8.792
```